No. 1
Pm8Y5Sc, relaxed, DFT GGA-PBE; symmetry = C2; raw total energy = -5.287 eV per atom; formation energy from the elements = 188 meV per atom
1.0
8.559 -0.030 -3.717
-3.892 6.112 -2.810
-0.751 0.030 9.301
Pm Y Sc
8 5 1
Direct
0.001 0.581 0.934 Pm
0.576 0.426 0.867 Pm
0.353 0.419 0.420 Pm
0.225 0.917 0.659 Pm
0.440 0.574 0.149 Pm
0.971 0.108 0.766 Pm
0.742 0.083 0.308 Pm
0.658 0.892 0.864 Pm
0.337 0.059 0.075 Y
0.476 0.000 0.476 Y
0.788 0.557 0.521 Y
0.016 0.941 0.278 Y
0.963 0.443 0.231 Y
0.203 0.500 0.703 Sc

***

No. 2
Pm3YSc, relaxed, DFT GGA-PBE; excess energy over the best structure of this formula in the dataset = 0.0 meV/atom; symmetry = C2/m; raw total energy = -5.368 eV per atom; formation energy from the elements = 42 meV per atom
1.0
-1.914 4.524 1.076
-5.242 -3.091 3.669
4.681 -2.650 7.720
Pm Sc Y
6 2 2
Direct
0.798 0.345 0.596 Pm
0.605 0.951 0.210 Pm
0.003 0.246 0.006 Pm
0.997 0.754 0.994 Pm
0.395 0.049 0.790 Pm
0.202 0.655 0.404 Pm
0.798 0.853 0.596 Sc
0.202 0.147 0.404 Sc
0.601 0.450 0.203 Y
0.399 0.550 0.797 Y

***

No. 3
PmY5Sc, relaxed, DFT GGA-PBE; symmetry = C2/c; raw total energy = -5.992 eV per atom; formation energy from the elements = 209 meV per atom
1.0
6.608 0.000 0.000
-3.304 4.995 -1.557
0.000 2.869 12.704
Sc Y Pm
2 10 2
Direct
0.000 0.000 0.500 Sc
0.000 0.000 0.000 Sc
0.213 0.508 0.158 Y
0.370 0.667 0.923 Y
0.199 0.000 0.250 Y
0.297 0.667 0.423 Y
0.801 0.000 0.750 Y
0.294 0.508 0.658 Y
0.630 0.333 0.077 Y
0.706 0.492 0.342 Y
0.703 0.333 0.577 Y
0.787 0.492 0.842 Y
0.264 0.000 0.750 Pm
0.736 0.000 0.250 Pm

***

No. 4
Pm6Y5Sc2, relaxed, DFT GGA-PBE; symmetry = Pbam; raw total energy = -5.598 eV per atom; formation energy from the elements = 55 meV per atom
1.0
3.588 0.000 0.000
0.000 11.479 0.000
0.000 0.000 20.422
Sc Pm Y
4 12 10
Direct
0.000 0.886 0.213 Sc
0.000 0.114 0.787 Sc
0.000 0.386 0.287 Sc
0.000 0.614 0.713 Sc
0.500 0.080 0.656 Pm
0.000 0.782 0.946 Pm
0.000 0.332 0.882 Pm
0.500 0.420 0.156 Pm
0.000 0.832 0.618 Pm
0.500 0.580 0.844 Pm
0.000 0.168 0.382 Pm
0.000 0.718 0.446 Pm
0.000 0.282 0.554 Pm
0.000 0.218 0.054 Pm
0.000 0.668 0.118 Pm
0.500 0.920 0.344 Pm
0.500 0.355 0.721 Y
0.500 0.645 0.279 Y
0.500 0.000 0.500 Y
0.500 0.855 0.779 Y
0.500 0.443 0.421 Y
0.500 0.057 0.921 Y
0.500 0.145 0.221 Y
0.500 0.500 0.000 Y
0.500 0.557 0.579 Y
0.500 0.943 0.079 Y

***

No. 5
PmY3Sc7, relaxed, DFT GGA-PBE; symmetry = C2/m; raw total energy = -5.930 eV per atom; formation energy from the elements = 294 meV per atom
1.0
-0.454 4.877 -2.408
-6.237 -4.640 -2.004
-3.801 0.066 7.070
Sc Y Pm
7 3 1
Direct
0.210 0.209 0.209 Sc
0.281 0.592 0.971 Sc
0.281 0.971 0.592 Sc
0.790 0.791 0.791 Sc
0.000 0.500 0.500 Sc
0.719 0.408 0.029 Sc
0.719 0.029 0.408 Sc
0.500 0.000 0.000 Y
0.000 0.209 0.791 Y
0.000 0.791 0.209 Y
0.500 0.500 0.500 Pm

***

No. 6
Pm6Y3Sc2, relaxed, DFT GGA-PBE; symmetry = C2/m; raw total energy = -5.311 eV per atom; formation energy from the elements = 194 meV per atom
1.0
5.933 0.000 1.771
2.966 5.366 0.885
-1.187 0.000 11.224
Pm Sc Y
6 2 3
Direct
0.579 0.332 0.265 Pm
0.753 0.000 0.736 Pm
0.421 0.668 0.735 Pm
0.247 0.000 0.264 Pm
0.911 0.668 0.265 Pm
0.089 0.332 0.735 Pm
0.167 0.666 0.500 Sc
0.833 0.334 0.500 Sc
0.000 0.000 0.000 Y
0.333 0.333 0.000 Y
0.667 0.667 0.000 Y

***

No. 7
Pm4Y4Sc, relaxed, DFT GGA-PBE; symmetry = I4/mmm; raw total energy = -5.653 eV per atom; formation energy from the elements = 35 meV per atom
1.0
-4.457 -0.326 -2.351
0.189 -6.311 -4.908
-4.850 -4.583 4.407
Y Pm Sc
4 4 1
Direct
0.664 0.000 0.672 Y
0.664 0.672 0.000 Y
0.336 0.000 0.328 Y
0.336 0.328 0.000 Y
0.669 0.331 0.331 Pm
0.331 0.669 0.669 Pm
0.000 0.669 0.331 Pm
0.000 0.331 0.669 Pm
0.000 0.000 0.000 Sc

***

No. 8
PmY2Sc, relaxed, DFT GGA-PBE; excess energy over the best structure of this formula in the dataset = 7.9 meV/atom; symmetry = P4/mmm; raw total energy = -5.956 eV per atom; formation energy from the elements = 46 meV per atom
1.0
5.020 0.000 0.000
0.000 4.945 0.000
0.000 0.000 4.945
Sc Pm Y
1 1 2
Direct
0.500 0.000 0.000 Sc
0.500 0.500 0.500 Pm
0.000 0.000 0.500 Y
0.000 0.500 0.000 Y

***

No. 9
Pm2Y2Sc, relaxed, DFT GGA-PBE; excess energy over the best structure of this formula in the dataset = 0.0 meV/atom; symmetry = C2/c; raw total energy = -5.725 eV per atom; formation energy from the elements = 27 meV per atom
1.0
-5.870 1.537 -1.452
0.937 -5.221 4.095
0.771 7.646 4.978
Pm Y Sc
4 4 2
Direct
0.078 0.809 0.050 Pm
0.732 0.809 0.550 Pm
0.922 0.191 0.950 Pm
0.268 0.191 0.450 Pm
0.137 0.593 0.349 Y
0.863 0.407 0.651 Y
0.456 0.593 0.849 Y
0.544 0.407 0.151 Y
0.334 0.000 0.750 Sc
0.666 0.000 0.250 Sc

***

No. 10
Pm2Y9Sc, relaxed, DFT GGA-PBE; symmetry = P4/mmm; raw total energy = -6.134 eV per atom; formation energy from the elements = 33 meV per atom
1.0
5.041 0.000 0.000
0.000 5.041 0.000
0.000 0.000 15.089
Y Sc Pm
9 1 2
Direct
0.500 0.500 0.330 Y
0.500 0.000 0.839 Y
0.500 0.500 0.000 Y
0.500 0.000 0.161 Y
0.000 0.500 0.500 Y
0.500 0.500 0.670 Y
0.500 0.000 0.500 Y
0.000 0.500 0.161 Y
0.000 0.500 0.839 Y
0.000 0.000 0.000 Sc
0.000 0.000 0.668 Pm
0.000 0.000 0.332 Pm

***

No. 11
Pm4Y7Sc, relaxed, DFT GGA-PBE; excess energy over the best structure of this formula in the dataset = 0.0 meV/atom; symmetry = P-1; raw total energy = -5.792 eV per atom; formation energy from the elements = 90 meV per atom
1.0
6.104 -1.994 2.279
0.278 6.193 2.101
2.205 -2.461 10.454
Pm Y Sc
4 7 1
Direct
0.409 0.634 0.282 Pm
0.591 0.366 0.718 Pm
0.418 0.846 0.697 Pm
0.582 0.154 0.303 Pm
0.011 0.191 0.385 Y
0.989 0.809 0.615 Y
0.199 0.479 0.049 Y
0.500 0.000 0.000 Y
0.159 0.312 0.648 Y
0.801 0.521 0.951 Y
0.841 0.688 0.352 Y
0.000 0.000 0.000 Sc

***

No. 12
PmY4Sc, relaxed, DFT GGA-PBE; excess energy over the best structure of this formula in the dataset = 406.2 meV/atom; symmetry = Cmmm; raw total energy = -5.548 eV per atom; formation energy from the elements = 608 meV per atom
1.0
-1.714 -4.737 -0.554
4.014 -1.759 2.544
-4.430 0.726 7.493
Y Sc Pm
4 1 1
Direct
0.997 0.501 0.786 Y
0.497 0.001 0.786 Y
0.497 0.001 0.217 Y
0.997 0.501 0.217 Y
0.497 0.501 0.002 Sc
0.997 0.001 0.502 Pm